(1)
A plane-wave DFT calculation with PBE was carried out for a relaxed structure of BaTeCI2.

Cell: 6.6418 6.6418 6.9114 Å, 90.00 90.00 90.00°
Space group P4/mmm (No. 123)
Symmetry-distinct sites (fractional):
Ba1 0.0000 0.0000 0.0000 (multiplicity 1)
Te1 0.0000 0.0000 0.5000 (multiplicity 1)
C1 0.5000 0.5000 0.5000 (multiplicity 1)
I1 0.0000 0.5000 0.0000 (multiplicity 2)

Summary:
V = 60.976 Å³ per atom
Uncorrected formation energy = 121.7 kJ per mole of atoms
Excess energy over the best structure of this formula in the dataset = 1149.0 meV per atom


(2)
A plane-wave DFT calculation with PBE was carried out for a relaxed structure of BaTe2CI.

Cell: 6.9682 6.9682 6.6215 Å, 90.00 90.00 90.00°
Space group P4/mmm (No. 123)
Symmetry-distinct sites (fractional):
Ba1 0.0000 0.0000 0.0000 (multiplicity 1)
Te1 0.0000 0.5000 0.0000 (multiplicity 2)
C1 0.5000 0.5000 0.5000 (multiplicity 1)
I1 0.0000 0.0000 0.5000 (multiplicity 1)

Summary:
V = 64.302 Å³ per atom
Uncorrected formation energy = 128.2 kJ per mole of atoms
Excess energy over the best structure of this formula in the dataset = 1180.3 meV per atom


(3)
A plane-wave DFT calculation with PBE was carried out for a relaxed structure of BaTe2CI.

Cell: 4.9567 4.9567 5.8741 Å, 90.00 90.00 90.00°
Space group P4/mmm (No. 123)
Symmetry-distinct sites (fractional):
Ba1 0.0000 0.0000 0.0000 (multiplicity 1)
Te1 0.0000 0.5000 0.5000 (multiplicity 2)
C1 0.5000 0.5000 0.5000 (multiplicity 1)
I1 0.5000 0.5000 0.0000 (multiplicity 1)

Summary:
V = 28.865 Å³ per atom
Uncorrected formation energy = 14.3 kJ per mole of atoms
Excess energy over the best structure of this formula in the dataset = 0.0 meV per atom


(4)
A plane-wave DFT calculation with PBE was carried out for a relaxed structure of BaTeCI2.

Cell: 5.3857 5.3857 5.0736 Å, 90.00 90.00 90.00°
Space group P4/mmm (No. 123)
Symmetry-distinct sites (fractional):
Ba1 0.0000 0.0000 0.0000 (multiplicity 1)
Te1 0.5000 0.5000 0.0000 (multiplicity 1)
C1 0.5000 0.5000 0.5000 (multiplicity 1)
I1 0.0000 0.5000 0.5000 (multiplicity 2)

Summary:
V = 29.432 Å³ per atom
Uncorrected formation energy = 10.8 kJ per mole of atoms
Excess energy over the best structure of this formula in the dataset = 0.0 meV per atom


(5)
A plane-wave DFT calculation with PBE was carried out for a relaxed structure of BaTiCI2.

Cell: 5.8711 5.8711 4.1363 Å, 90.00 90.00 90.00°
Space group P4/mmm (No. 123)
Symmetry-distinct sites (fractional):
Ba1 0.0000 0.0000 0.0000 (multiplicity 1)
Ti1 0.5000 0.5000 0.0000 (multiplicity 1)
C1 0.5000 0.5000 0.5000 (multiplicity 1)
I1 0.0000 0.5000 0.5000 (multiplicity 2)

Summary:
V = 28.515 Å³ per atom
Uncorrected formation energy = 20.1 kJ per mole of atoms


(6)
A plane-wave DFT calculation with PBE was carried out for a relaxed structure of BaY2CI.

Cell: 5.5906 5.5906 6.3856 Å, 90.00 90.00 90.00°
Space group P4/mmm (No. 123)
Symmetry-distinct sites (fractional):
Ba1 0.0000 0.0000 0.0000 (multiplicity 1)
Y1 0.0000 0.5000 0.5000 (multiplicity 2)
C1 0.5000 0.5000 0.0000 (multiplicity 1)
I1 0.0000 0.0000 0.5000 (multiplicity 1)

Summary:
V = 39.915 Å³ per atom
Uncorrected formation energy = 138.6 kJ per mole of atoms


(7)
A plane-wave DFT calculation with PBE was carried out for a relaxed structure of BaInC3.

Cell: 4.8108 4.8108 4.8108 Å, 90.00 90.00 90.00°
Space group Pm-3m (No. 221)
Symmetry-distinct sites (fractional):
Ba1 0.0000 0.0000 0.0000 (multiplicity 1)
In1 0.5000 0.5000 0.5000 (multiplicity 1)
C1 0.0000 0.0000 0.5000 (multiplicity 3)

Summary:
V = 22.269 Å³ per atom
Energy relative to the elements = 16.74 eV/f.u.
Excess energy over the best structure of this formula in the dataset = 1164.2 meV per atom


(8)
A plane-wave DFT calculation with PBE was carried out for a relaxed structure of BaIn2C.

Cell: 8.1386 8.1386 6.2612 Å, 90.00 90.00 90.00°
Space group I-42d (No. 122)
Symmetry-distinct sites (fractional):
Ba1 0.0000 0.0000 0.0000 (multiplicity 4)
In1 0.1442 0.2500 0.6250 (multiplicity 8)
C1 0.0000 0.0000 0.5000 (multiplicity 4)

Summary:
V = 25.920 Å³ per atom
Energy relative to the elements = 2.26 eV/f.u.


(9)
A plane-wave DFT calculation with PBE was carried out for a relaxed structure of BaIn3C.

Cell: 5.1200 5.1200 5.1200 Å, 90.00 90.00 90.00°
Space group Pm-3m (No. 221)
Symmetry-distinct sites (fractional):
Ba1 0.0000 0.0000 0.0000 (multiplicity 1)
In1 0.0000 0.5000 0.5000 (multiplicity 3)
C1 0.5000 0.5000 0.5000 (multiplicity 1)

Summary:
V = 26.843 Å³ per atom
Energy relative to the elements = 3.06 eV/f.u.
Excess energy over the best structure of this formula in the dataset = 0.0 meV per atom


(10)
A plane-wave DFT calculation with PBE was carried out for a relaxed structure of BaIn3C.

Cell: 6.6258 6.6258 6.6258 Å, 90.00 90.00 90.00°
Space group Pm-3m (No. 221)
Symmetry-distinct sites (fractional):
Ba1 0.0000 0.0000 0.0000 (multiplicity 1)
In1 0.0000 0.0000 0.5000 (multiplicity 3)
C1 0.5000 0.5000 0.5000 (multiplicity 1)

Summary:
V = 58.175 Å³ per atom
Energy relative to the elements = 10.40 eV/f.u.
Excess energy over the best structure of this formula in the dataset = 1466.7 meV per atom


(11)
A plane-wave DFT calculation with PBE was carried out for a relaxed structure of BaInC3.

Cell: 4.5117 4.5117 4.5117 Å, 90.00 90.00 90.00°
Space group Pm-3m (No. 221)
Symmetry-distinct sites (fractional):
Ba1 0.0000 0.0000 0.0000 (multiplicity 1)
In1 0.5000 0.5000 0.5000 (multiplicity 1)
C1 0.0000 0.5000 0.5000 (multiplicity 3)

Summary:
V = 18.368 Å³ per atom
Energy relative to the elements = 10.92 eV/f.u.
Excess energy over the best structure of this formula in the dataset = 0.0 meV per atom


(12)
A plane-wave DFT calculation with PBE was carried out for a relaxed structure of KBaInC2.

Cell: 6.0276 6.0276 7.4558 Å, 90.00 90.00 90.00°
Space group P4/mmm (No. 123)
Symmetry-distinct sites (fractional):
K1 0.0000 0.0000 0.0000 (multiplicity 1)
Ba1 0.0000 0.0000 0.5000 (multiplicity 1)
In1 0.5000 0.5000 0.0000 (multiplicity 1)
C1 0.0000 0.5000 0.5000 (multiplicity 2)

Summary:
V = 54.177 Å³ per atom
Energy relative to the elements = 11.83 eV/f.u.


(13)
A plane-wave DFT calculation with PBE was carried out for a relaxed structure of BaInCN2.

Cell: 4.7183 4.7183 5.1710 Å, 90.00 90.00 90.00°
Space group P4/mmm (No. 123)
Symmetry-distinct sites (fractional):
Ba1 0.0000 0.0000 0.0000 (multiplicity 1)
In1 0.5000 0.5000 0.5000 (multiplicity 1)
C1 0.0000 0.0000 0.5000 (multiplicity 1)
N1 0.0000 0.5000 0.0000 (multiplicity 2)

Summary:
V = 23.023 Å³ per atom
Uncorrected formation energy = 240.9 kJ per mole of atoms


(14)
A plane-wave DFT calculation with PBE was carried out for a relaxed structure of BaNaIn2C.

Cell: 6.5464 6.5464 4.8478 Å, 90.00 90.00 90.00°
Space group P4/mmm (No. 123)
Symmetry-distinct sites (fractional):
Ba1 0.0000 0.0000 0.0000 (multiplicity 1)
Na1 0.5000 0.5000 0.5000 (multiplicity 1)
In1 0.0000 0.5000 0.0000 (multiplicity 2)
C1 0.0000 0.0000 0.5000 (multiplicity 1)

Summary:
V = 41.551 Å³ per atom
Energy relative to the elements = 6.48 eV/f.u.


(15)
A plane-wave DFT calculation with PBE was carried out for a relaxed structure of Ba2InPbC.

Cell: 6.8121 6.8121 4.4061 Å, 90.00 90.00 90.00°
Space group P4/mmm (No. 123)
Symmetry-distinct sites (fractional):
Ba1 0.0000 0.5000 0.0000 (multiplicity 2)
In1 0.0000 0.0000 0.5000 (multiplicity 1)
Pb1 0.5000 0.5000 0.0000 (multiplicity 1)
C1 0.5000 0.5000 0.5000 (multiplicity 1)

Summary:
V = 40.893 Å³ per atom
Energy relative to the elements = 3.93 eV/f.u.
Excess energy over the best structure of this formula in the dataset = 0.0 meV per atom


(16)
A plane-wave DFT calculation with PBE was carried out for a relaxed structure of Ba2InPbC.

Cell: 6.7183 6.7183 5.5475 Å, 90.00 90.00 90.00°
Space group P4/mmm (No. 123)
Symmetry-distinct sites (fractional):
Ba1 0.0000 0.5000 0.0000 (multiplicity 2)
In1 0.0000 0.0000 0.0000 (multiplicity 1)
Pb1 0.0000 0.0000 0.5000 (multiplicity 1)
C1 0.5000 0.5000 0.5000 (multiplicity 1)

Summary:
V = 50.077 Å³ per atom
Energy relative to the elements = 5.81 eV/f.u.
Excess energy over the best structure of this formula in the dataset = 376.5 meV per atom


(17)
A plane-wave DFT calculation with PBE was carried out for a relaxed structure of BaInRe2C.

Cell: 5.2308 5.2308 4.5031 Å, 90.00 90.00 90.00°
Space group P4/mmm (No. 123)
Symmetry-distinct sites (fractional):
Ba1 0.0000 0.0000 0.0000 (multiplicity 1)
In1 0.5000 0.5000 0.5000 (multiplicity 1)
Re1 0.0000 0.5000 0.5000 (multiplicity 2)
C1 0.5000 0.5000 0.0000 (multiplicity 1)

Summary:
V = 24.643 Å³ per atom
Energy relative to the elements = 12.95 eV/f.u.


(18)
A plane-wave DFT calculation with PBE was carried out for a relaxed structure of Ba2TaInC.

Cell: 6.4938 6.4938 4.0856 Å, 90.00 90.00 90.00°
Space group P4/mmm (No. 123)
Symmetry-distinct sites (fractional):
Ba1 0.0000 0.5000 0.0000 (multiplicity 2)
Ta1 0.0000 0.0000 0.0000 (multiplicity 1)
In1 0.5000 0.5000 0.5000 (multiplicity 1)
C1 0.0000 0.0000 0.5000 (multiplicity 1)

Summary:
V = 34.457 Å³ per atom
Energy relative to the elements = 4.06 eV/f.u.


(19)
A plane-wave DFT calculation with PBE was carried out for a relaxed structure of BaIrC.

Cell: 6.0907 6.0907 6.0907 Å, 90.00 90.00 90.00°
Space group P2_13 (No. 198)
Symmetry-distinct sites (fractional):
Ba1 0.1340 0.1340 0.1340 (multiplicity 4)
Ir1 0.1469 0.3531 0.6469 (multiplicity 4)
C1 0.0975 0.5975 0.9025 (multiplicity 4)

Summary:
V = 18.828 Å³ per atom
Energy relative to the elements = 1.00 eV/f.u.
Excess energy over the best structure of this formula in the dataset = 45.7 meV per atom


(20)
A plane-wave DFT calculation with PBE was carried out for a relaxed structure of BaIrC.

Cell: 3.5267 3.5267 5.3996 Å, 90.00 90.00 120.00°
Space group P3m1 (No. 156)
Symmetry-distinct sites (fractional):
Ba1 0.0000 0.0000 0.0000 (multiplicity 1)
Ir1 0.6667 0.3333 0.5002 (multiplicity 1)
C1 0.3333 0.6667 0.5010 (multiplicity 1)

Summary:
V = 19.387 Å³ per atom
Energy relative to the elements = 0.87 eV/f.u.
Excess energy over the best structure of this formula in the dataset = 0.0 meV per atom


(21)
A plane-wave DFT calculation with PBE was carried out for a relaxed structure of Ba2IrC.

Cell: 7.9338 7.9338 7.3446 Å, 90.00 90.00 90.00°
Space group I-42d (No. 122)
Symmetry-distinct sites (fractional):
Ba1 0.2257 0.2500 0.1250 (multiplicity 8)
Ir1 0.0000 0.0000 0.5000 (multiplicity 4)
C1 0.0000 0.0000 0.0000 (multiplicity 4)

Summary:
V = 28.894 Å³ per atom
Energy relative to the elements = 4.67 eV/f.u.


(22)
A plane-wave DFT calculation with PBE was carried out for a relaxed structure of KBaIr2C.

Cell: 4.1867 4.1867 5.3877 Å, 90.00 90.00 90.00°
Space group P4/mmm (No. 123)
Symmetry-distinct sites (fractional):
K1 0.0000 0.0000 0.0000 (multiplicity 1)
Ba1 0.5000 0.5000 0.0000 (multiplicity 1)
Ir1 0.0000 0.5000 0.5000 (multiplicity 2)
C1 0.0000 0.0000 0.5000 (multiplicity 1)

Summary:
V = 18.888 Å³ per atom
Energy relative to the elements = 2.04 eV/f.u.


(23)
A plane-wave DFT calculation with PBE was carried out for a relaxed structure of Ba2LiIrC.

Cell: 5.9638 5.9638 3.9138 Å, 90.00 90.00 90.00°
Space group P4/mmm (No. 123)
Symmetry-distinct sites (fractional):
Ba1 0.0000 0.5000 0.0000 (multiplicity 2)
Li1 0.0000 0.0000 0.5000 (multiplicity 1)
Ir1 0.5000 0.5000 0.5000 (multiplicity 1)
C1 0.5000 0.5000 0.0000 (multiplicity 1)

Summary:
V = 27.840 Å³ per atom
Energy relative to the elements = -0.06 eV/f.u.


(24)
A plane-wave DFT calculation with PBE was carried out for a relaxed structure of BaLi2IrC.

Cell: 4.6501 4.6501 4.0264 Å, 90.00 90.00 90.00°
Space group P4/mmm (No. 123)
Symmetry-distinct sites (fractional):
Ba1 0.0000 0.0000 0.0000 (multiplicity 1)
Li1 0.0000 0.5000 0.5000 (multiplicity 2)
Ir1 0.5000 0.5000 0.0000 (multiplicity 1)
C1 0.5000 0.5000 0.5000 (multiplicity 1)

Summary:
V = 17.413 Å³ per atom
Energy relative to the elements = 0.44 eV/f.u.


(25)
A plane-wave DFT calculation with PBE was carried out for a relaxed structure of Ba2NaIrC.

Cell: 6.0337 6.0337 3.9356 Å, 90.00 90.00 90.00°
Space group P4/mmm (No. 123)
Symmetry-distinct sites (fractional):
Ba1 0.0000 0.5000 0.0000 (multiplicity 2)
Na1 0.0000 0.0000 0.5000 (multiplicity 1)
Ir1 0.5000 0.5000 0.5000 (multiplicity 1)
C1 0.5000 0.5000 0.0000 (multiplicity 1)

Summary:
V = 28.656 Å³ per atom
Energy relative to the elements = 0.03 eV/f.u.


(26)
A plane-wave DFT calculation with PBE was carried out for a relaxed structure of BaIrC2O8.

Cell: 7.7681 4.9457 7.7114 Å, 90.00 95.95 90.00°
Space group C2/m (No. 12)
Symmetry-distinct sites (fractional):
Ba1 0.0000 0.0000 0.0000 (multiplicity 2)
Ir1 0.0000 0.0000 0.5000 (multiplicity 2)
C1 0.1338 0.5000 0.3065 (multiplicity 4)
O1 0.0184 0.2708 0.3171 (multiplicity 8)
O2 0.1912 0.5000 0.1517 (multiplicity 4)
O3 0.2492 0.5000 0.4576 (multiplicity 4)

Summary:
V = 12.278 Å³ per atom
Uncorrected formation energy = -118.3 kJ per mole of atoms


(27)
A plane-wave DFT calculation with PBE was carried out for a relaxed structure of BaIrOs2C.

Cell: 5.1549 5.1549 5.1258 Å, 90.00 90.00 90.00°
Space group P4/mmm (No. 123)
Symmetry-distinct sites (fractional):
Ba1 0.0000 0.0000 0.0000 (multiplicity 1)
Ir1 0.0000 0.0000 0.5000 (multiplicity 1)
Os1 0.0000 0.5000 0.0000 (multiplicity 2)
C1 0.5000 0.5000 0.5000 (multiplicity 1)

Summary:
V = 27.241 Å³ per atom
Energy relative to the elements = 23.88 eV/f.u.


(28)
A plane-wave DFT calculation with PBE was carried out for a relaxed structure of Ba2IrPdC.

Cell: 5.8703 5.8703 3.8626 Å, 90.00 90.00 90.00°
Space group P4/mmm (No. 123)
Symmetry-distinct sites (fractional):
Ba1 0.0000 0.5000 0.0000 (multiplicity 2)
Ir1 0.0000 0.0000 0.5000 (multiplicity 1)
Pd1 0.5000 0.5000 0.5000 (multiplicity 1)
C1 0.0000 0.0000 0.0000 (multiplicity 1)

Summary:
V = 26.622 Å³ per atom
Energy relative to the elements = -0.64 eV/f.u.